Entry from Alexandria: a relaxed structure of CrOs3F (GGA+U).

Output
Its crystal system is cubic. As for the raw total energy: -31.27 eV for the cell shown. As for the space-group type: Pm-3m, No. 221.

Lattice parameters (Å, degrees): 4.4972 4.4972 4.4972 90.00 90.00 90.00
Last column: nearest neighbours and their distance in Å.
Fractional coordinates of all 5 atoms:
Os1 0.0000 0.0000 0.5000  2 Cr 2.25
Os2 0.0000 0.5000 0.0000  2 Cr 2.25
F1 0.5000 0.5000 0.5000  12 Os 3.18
Cr1 0.0000 0.0000 0.0000  6 Os 2.25
Os3 0.5000 0.0000 0.0000  2 Cr 2.25